# 1
K2RbAlTc: relaxed, PBE-GGA.

a = 6.565 Å, b = 6.771 Å, c = 6.565 Å
α = 90.00°, β = 90.00°, γ = 90.00°
Each line ends with the local moment (μB).
Positions (direct):
1 Rb 0.000 0.500 0.000  0.00
2 K 0.500 0.000 0.000  0.01
3 K 0.000 0.000 0.500  0.00
4 Al 0.000 0.000 0.000  0.03
5 Tc 0.500 0.500 0.500  3.64

Electronic total energy   -10.09 eV per formula unit
Fermi-level density of states   14.05 states/eV/cell
Calculated formation energy   1.437 eV per atom


# 2
KAlRe2: relaxed, PBE-GGA.

a = 3.051 Å, b = 3.051 Å, c = 9.008 Å
α = 90.00°, β = 90.00°, γ = 90.00°
Each line ends with the local moment (μB).
Positions (direct):
1 K 0.500 0.500 0.756  0.03
2 Re 0.000 0.000 0.082  0.19
3 Re 0.500 0.500 0.234  0.06
4 Al 0.000 0.000 0.428  0.01

Electronic total energy   -27.81 eV per formula unit
Fermi-level density of states   3.72 states/eV/cell
Calculated formation energy   0.483 eV per atom


# 3
KAlRe2: relaxed, PBE-GGA.

a = 2.689 Å, b = 2.689 Å, c = 9.936 Å
α = 90.00°, β = 90.00°, γ = 90.00°
Positions (direct):
1 Re 0.000 0.000 0.049
2 Re 0.000 0.000 0.451
3 K 0.500 0.500 0.750
4 Al 0.500 0.500 0.250

Electronic total energy   -26.71 eV per formula unit
Fermi-level density of states   3.38 states/eV/cell
Calculated formation energy   0.756 eV per atom


# 4
KAlRe2: relaxed, PBE-GGA.

a = 4.454 Å, b = 4.454 Å, c = 7.558 Å
α = 86.86°, β = 86.86°, γ = 36.30°
Positions (direct):
1 Al 0.484 0.484 0.591
2 Re 0.013 0.013 0.899
3 Re 0.754 0.754 0.764
4 K 0.248 0.248 0.246

Electronic total energy   -27.39 eV per formula unit
Fermi-level density of states   2.89 states/eV/cell
Calculated formation energy   0.586 eV per atom


# 5
KAlRe2: relaxed, PBE-GGA.

a = 5.450 Å, b = 5.450 Å, c = 5.450 Å
α = 138.02°, β = 138.02°, γ = 60.87°
Positions (direct):
1 Al 0.250 0.750 0.500
2 Re 0.500 0.500 0.000
3 Re 0.000 0.000 0.000
4 K 0.750 0.250 0.500

Electronic total energy   -23.76 eV per formula unit
Fermi-level density of states   2.70 states/eV/cell
Calculated formation energy   1.495 eV per atom


# 6
KAlRe2: relaxed, PBE-GGA.

a = 2.770 Å, b = 2.770 Å, c = 10.373 Å
α = 90.00°, β = 90.00°, γ = 113.64°
Positions (direct):
1 Al 0.000 0.000 0.461
2 Re 0.000 0.000 0.041
3 Re 0.500 0.500 0.246
4 K 0.500 0.500 0.751

Electronic total energy   -27.30 eV per formula unit
Fermi-level density of states   2.32 states/eV/cell
Calculated formation energy   0.609 eV per atom